# HoTh2Bi2Te2 (PBE-GGA, relaxed)
# - Space group: No. 139
# - Formation energy from raw total energies: -452.1 meV per atom
data_HoTh2Bi2Te2
_chemical_formula_sum 'Ho1 Th2 Bi2 Te2'
_symmetry_space_group_name_H-M 'P 1'
_symmetry_Int_Tables_number 1
_symmetry_space_group_name_Hall 'P 1'
_cell_length_a 5.8338
_cell_length_b 5.8338
_cell_length_c 8.8483
_cell_angle_alpha 109.25
_cell_angle_beta 109.25
_cell_angle_gamma 90.00
loop_
_atom_site_label
_atom_site_fract_x
_atom_site_fract_y
_atom_site_fract_z
Th1 0.6139 0.6139 0.2279
Th2 0.3861 0.3861 0.7721
Te1 0.1932 0.1932 0.3864
Te2 0.8068 0.8068 0.6136
Ho1 0.0000 0.0000 0.0000
Bi1 0.5000 0.0000 0.0000
Bi2 0.0000 0.5000 0.0000



# PmAgPH (PBE-GGA, relaxed)
# - Space group: No. 216
# - Excess energy over the best structure of this formula in the dataset: 269 meV/atom
data_PmAgPH
_chemical_formula_sum 'Pm1 Ag1 P1 H1'
_symmetry_space_group_name_H-M 'P 1'
_symmetry_Int_Tables_number 1
_symmetry_space_group_name_Hall 'P 1'
_cell_length_a 4.6112
_cell_length_b 4.6112
_cell_length_c 4.6112
_cell_angle_alpha 60.00
_cell_angle_beta 60.00
_cell_angle_gamma 60.00
loop_
_atom_site_label
_atom_site_fract_x
_atom_site_fract_y
_atom_site_fract_z
H1 0.5000 0.5000 0.5000
Pm1 0.7500 0.7500 0.7500
P1 0.0000 0.0000 0.0000
Ag1 0.2500 0.2500 0.2500



# DyPaMnN4 (PBE-GGA, relaxed)
# - Space group: No. 107
# - Formation energy from raw total energies: -1126.5 meV per atom
data_DyPaMnN4
_chemical_formula_sum 'Dy1 Pa1 Mn1 N4'
_symmetry_space_group_name_H-M 'P 1'
_symmetry_Int_Tables_number 1
_symmetry_space_group_name_Hall 'P 1'
_cell_length_a 3.6837
_cell_length_b 3.6837
_cell_length_c 6.5887
_cell_angle_alpha 106.23
_cell_angle_beta 106.23
_cell_angle_gamma 90.00
loop_
_atom_site_label
_atom_site_fract_x
_atom_site_fract_y
_atom_site_fract_z
N1 0.1807 0.1807 0.3614
N2 0.8287 0.8287 0.6574
N3 0.9953 0.4953 0.9906
N4 0.4953 0.9953 0.9906
Mn1 0.9981 0.9981 0.9962
Pa1 0.3587 0.3587 0.7174
Dy1 0.6432 0.6432 0.2863



# Y2TiBi2 (PBE-GGA, relaxed)
# - Space group: No. 127
# - Energy: -0.227 hartree per atom
data_Y2TiBi2
_chemical_formula_sum 'Y4 Ti2 Bi4'
_symmetry_space_group_name_H-M 'P 1'
_symmetry_Int_Tables_number 1
_symmetry_space_group_name_Hall 'P 1'
_cell_length_a 7.8801
_cell_length_b 7.8801
_cell_length_c 4.4074
_cell_angle_alpha 90.00
_cell_angle_beta 90.00
_cell_angle_gamma 90.00
loop_
_atom_site_label
_atom_site_fract_x
_atom_site_fract_y
_atom_site_fract_z
Ti1 0.5000 0.5000 0.0000
Ti2 0.0000 0.0000 0.0000
Y1 0.6594 0.8406 0.5000
Y2 0.3406 0.1594 0.5000
Y3 0.8406 0.3406 0.5000
Y4 0.1594 0.6594 0.5000
Bi1 0.6504 0.1504 0.0000
Bi2 0.3496 0.8496 0.0000
Bi3 0.8496 0.6504 0.0000
Bi4 0.1504 0.3496 0.0000



# LaPmTm14 (PBE-GGA, relaxed)
# - Space group: No. 38
# - Energy: -0.165 hartree per atom
data_LaPmTm14
_chemical_formula_sum 'La1 Pm1 Tm14'
_symmetry_space_group_name_H-M 'P 1'
_symmetry_Int_Tables_number 1
_symmetry_space_group_name_Hall 'P 1'
_cell_length_a 7.0613
_cell_length_b 7.0613
_cell_length_c 11.3630
_cell_angle_alpha 90.00
_cell_angle_beta 90.00
_cell_angle_gamma 119.80
loop_
_atom_site_label
_atom_site_fract_x
_atom_site_fract_y
_atom_site_fract_z
Tm1 0.5419 0.9573 0.0000
Tm2 0.7087 0.7922 0.5000
Tm3 0.8757 0.1243 0.2465
Tm4 0.0427 0.4581 0.0000
Tm5 0.3738 0.1248 0.7557
Tm6 0.5413 0.4587 0.0000
Tm7 0.0415 0.9585 0.0000
Tm8 0.8757 0.1243 0.7535
Tm9 0.8752 0.6262 0.2443
Tm10 0.2078 0.2913 0.5000
Tm11 0.3756 0.6244 0.7516
Tm12 0.3738 0.1248 0.2443
Tm13 0.3756 0.6244 0.2484
Tm14 0.8752 0.6262 0.7557
La1 0.7074 0.2926 0.5000
Pm1 0.2082 0.7918 0.5000



# Ca2RuCl (PBE-GGA, relaxed)
# - Space group: No. 160
# - Excess energy over the best structure of this formula in the dataset: 673 meV/atom
# - Formation energy from raw total energies: 31.3 meV per atom
data_Ca2RuCl
_chemical_formula_sum 'Ca2 Ru1 Cl1'
_symmetry_space_group_name_H-M 'P 1'
_symmetry_Int_Tables_number 1
_symmetry_space_group_name_Hall 'P 1'
_cell_length_a 10.6796
_cell_length_b 10.6796
_cell_length_c 10.6796
_cell_angle_alpha 19.25
_cell_angle_beta 19.25
_cell_angle_gamma 19.25
loop_
_atom_site_label
_atom_site_fract_x
_atom_site_fract_y
_atom_site_fract_z
Ca1 0.0106 0.0106 0.0106
Ca2 0.2339 0.2339 0.2339
Cl1 0.5126 0.5126 0.5126
Ru1 0.7430 0.7430 0.7430



# Cr2CoRu (PBE-GGA, relaxed)
# - Space group: No. 166
# - Energy: -0.320 hartree per atom
data_Cr2CoRu
_chemical_formula_sum 'Cr2 Co1 Ru1'
_symmetry_space_group_name_H-M 'P 1'
_symmetry_Int_Tables_number 1
_symmetry_space_group_name_Hall 'P 1'
_cell_length_a 8.4700
_cell_length_b 8.4700
_cell_length_c 8.4700
_cell_angle_alpha 17.56
_cell_angle_beta 17.56
_cell_angle_gamma 17.56
loop_
_atom_site_label
_atom_site_fract_x
_atom_site_fract_y
_atom_site_fract_z
Cr1 0.4966 0.4966 0.4966
Cr2 0.0034 0.0034 0.0034
Ru1 0.2500 0.2500 0.2500
Co1 0.7500 0.7500 0.7500



# LiNbCd (PBE-GGA, relaxed)
# - Space group: No. 216
# - Excess energy over the best structure of this formula in the dataset: 1056 meV/atom
data_LiNbCd
_chemical_formula_sum 'Li1 Nb1 Cd1'
_symmetry_space_group_name_H-M 'P 1'
_symmetry_Int_Tables_number 1
_symmetry_space_group_name_Hall 'P 1'
_cell_length_a 4.5631
_cell_length_b 4.5631
_cell_length_c 4.5631
_cell_angle_alpha 60.00
_cell_angle_beta 60.00
_cell_angle_gamma 60.00
loop_
_atom_site_label
_atom_site_fract_x
_atom_site_fract_y
_atom_site_fract_z
Li1 0.2500 0.2500 0.2500
Nb1 0.5000 0.5000 0.5000
Cd1 0.7500 0.7500 0.7500



# Cu2RePt (PBE-GGA, relaxed)
# - Space group: No. 225
# - Excess energy over the best structure of this formula in the dataset: 315 meV/atom
data_Cu2RePt
_chemical_formula_sum 'Cu2 Re1 Pt1'
_symmetry_space_group_name_H-M 'P 1'
_symmetry_Int_Tables_number 1
_symmetry_space_group_name_Hall 'P 1'
_cell_length_a 4.2494
_cell_length_b 4.2494
_cell_length_c 4.2494
_cell_angle_alpha 60.00
_cell_angle_beta 60.00
_cell_angle_gamma 60.00
loop_
_atom_site_label
_atom_site_fract_x
_atom_site_fract_y
_atom_site_fract_z
Cu1 0.2500 0.2500 0.2500
Cu2 0.7500 0.7500 0.7500
Pt1 0.5000 0.5000 0.5000
Re1 0.0000 0.0000 0.0000



# Ca5In2Pb (PBE-GGA, relaxed)
# - Space group: No. 140
# - Energy: -0.104 hartree per atom
data_Ca5In2Pb
_chemical_formula_sum 'Ca10 In4 Pb2'
_symmetry_space_group_name_H-M 'P 1'
_symmetry_Int_Tables_number 1
_symmetry_space_group_name_Hall 'P 1'
_cell_length_a 8.3944
_cell_length_b 8.3944
_cell_length_c 9.5511
_cell_angle_alpha 116.07
_cell_angle_beta 116.07
_cell_angle_gamma 90.00
loop_
_atom_site_label
_atom_site_fract_x
_atom_site_fract_y
_atom_site_fract_z
Ca1 0.1828 0.0283 0.7110
Ca2 0.0000 0.0000 0.0000
Ca3 0.9717 0.4717 0.2890
Ca4 0.8172 0.9717 0.2890
Ca5 0.6828 0.1828 0.7110
Ca6 0.3172 0.8172 0.2890
Ca7 0.4717 0.3172 0.2890
Ca8 0.5000 0.5000 0.0000
Ca9 0.5283 0.6828 0.7110
Ca10 0.0283 0.5283 0.7110
Pb1 0.2500 0.2500 0.5000
Pb2 0.7500 0.7500 0.5000
In1 0.3779 0.8779 0.0000
In2 0.8779 0.6221 0.0000
In3 0.6221 0.1221 0.0000
In4 0.1221 0.3779 0.0000



# Tc2AsPb (PBE-GGA, relaxed)
# - Space group: No. 8
# - Excess energy over the best structure of this formula in the dataset: 208 meV/atom
data_Tc2AsPb
_chemical_formula_sum 'Tc2 As1 Pb1'
_symmetry_space_group_name_H-M 'P 1'
_symmetry_Int_Tables_number 1
_symmetry_space_group_name_Hall 'P 1'
_cell_length_a 4.7199
_cell_length_b 4.7199
_cell_length_c 5.6462
_cell_angle_alpha 77.23
_cell_angle_beta 77.23
_cell_angle_gamma 38.74
loop_
_atom_site_label
_atom_site_fract_x
_atom_site_fract_y
_atom_site_fract_z
As1 0.4728 0.4728 0.6410
Tc1 0.7473 0.7473 0.6856
Tc2 0.0245 0.0245 0.9540
Pb1 0.2554 0.2554 0.2194



# MgBi2Se (PBE-GGA, relaxed)
# - Space group: No. 122
# - Excess energy over the best structure of this formula in the dataset: 42 meV/atom
# - Formation energy from raw total energies: 122.7 meV per atom
data_MgBi2Se
_chemical_formula_sum 'Mg2 Bi4 Se2'
_symmetry_space_group_name_H-M 'P 1'
_symmetry_Int_Tables_number 1
_symmetry_space_group_name_Hall 'P 1'
_cell_length_a 6.2836
_cell_length_b 6.2836
_cell_length_c 8.8543
_cell_angle_alpha 69.22
_cell_angle_beta 69.22
_cell_angle_gamma 90.00
loop_
_atom_site_label
_atom_site_fract_x
_atom_site_fract_y
_atom_site_fract_z
Mg1 0.2500 0.7500 0.5000
Mg2 0.5000 0.5000 0.0000
Bi1 0.6303 0.1250 0.2500
Bi2 0.1197 0.6250 0.2500
Bi3 0.8750 0.8803 0.7500
Bi4 0.3750 0.3697 0.7500
Se1 0.7500 0.2500 0.5000
Se2 0.0000 0.0000 0.0000